1.
# FeOsAu, optimized geometry, DFT GGA-PBE
# - magnetization (μB/f.u.) = 2.07
# - DOS(E_F) (states/eV per atom) = 1.32
# - total energy (Ry/atom) = -0.5284
# - E_form (meV/atom) = 467
# - V (A^3/atom) = 14.84
data_FeOsAu
_chemical_formula_sum 'Fe2 Os2 Au2'
_space_group_name_H-M_alt 'I m m 2'
_space_group_IT_number 44
_space_group_name_Hall 'I 2 -2'
_cell_length_a 2.730
_cell_length_b 3.670
_cell_length_c 8.889
_cell_angle_alpha 90.00
_cell_angle_beta 90.00
_cell_angle_gamma 90.00
loop_
_atom_site_label
_atom_site_type_symbol
_atom_site_fract_x
_atom_site_fract_y
_atom_site_fract_z
Fe1 Fe 0.000 0.000 0.000
Os1 Os 0.000 0.000 0.627
Au1 Au 0.000 0.000 0.318


2.
# FeOsAu, optimized geometry, DFT GGA-PBE
# - magnetization (μB/f.u.) = 3.10
# - DOS(E_F) (states/eV per atom) = 1.19
# - total energy (Ry/atom) = -0.5298
# - E_form (meV/atom) = 449
# - V (A^3/atom) = 15.18
data_FeOsAu
_chemical_formula_sum 'Fe4 Os4 Au4'
_space_group_name_H-M_alt 'F m m 2'
_space_group_IT_number 42
_space_group_name_Hall 'F 2 -2'
_cell_length_a 2.932
_cell_length_b 4.539
_cell_length_c 13.690
_cell_angle_alpha 90.00
_cell_angle_beta 90.00
_cell_angle_gamma 90.00
loop_
_atom_site_label
_atom_site_type_symbol
_atom_site_fract_x
_atom_site_fract_y
_atom_site_fract_z
Fe1 Fe 0.000 0.000 0.000
Os1 Os 0.000 0.000 0.647
Au1 Au 0.000 0.000 0.333


3.
# FeOs2Au, optimized geometry, DFT GGA-PBE
# - magnetization (μB/f.u.) = 1.79
# - DOS(E_F) (states/eV per atom) = 1.00
# - total energy (Ry/atom) = -0.5933
# - E_form (meV/atom) = 478
# - V (A^3/atom) = 14.66
data_FeOs2Au
_chemical_formula_sum 'Fe1 Os2 Au1'
_space_group_name_H-M_alt 'P m m m'
_space_group_IT_number 47
_space_group_name_Hall '-P 2 2'
_cell_length_a 2.716
_cell_length_b 3.715
_cell_length_c 5.811
_cell_angle_alpha 90.00
_cell_angle_beta 90.00
_cell_angle_gamma 90.00
loop_
_atom_site_label
_atom_site_type_symbol
_atom_site_fract_x
_atom_site_fract_y
_atom_site_fract_z
Fe1 Fe 0.000 0.000 0.000
Os1 Os 0.500 0.500 0.213
Au1 Au 0.000 0.000 0.500


4.
# FeOs2Au, optimized geometry, DFT GGA-PBE
# - magnetization (μB/f.u.) = 3.45
# - DOS(E_F) (states/eV per atom) = 0.96
# - total energy (Ry/atom) = -0.5791
# - E_form (meV/atom) = 671
# - V (A^3/atom) = 14.96
data_FeOs2Au
_chemical_formula_sum 'Fe4 Os8 Au4'
_space_group_name_H-M_alt 'F -4 3 m'
_space_group_IT_number 216
_space_group_name_Hall 'F -4 2 3'
_cell_length_a 6.209
_cell_length_b 6.209
_cell_length_c 6.209
_cell_angle_alpha 90.00
_cell_angle_beta 90.00
_cell_angle_gamma 90.00
loop_
_atom_site_label
_atom_site_type_symbol
_atom_site_fract_x
_atom_site_fract_y
_atom_site_fract_z
Fe1 Fe 0.000 0.000 0.000
Os1 Os 0.000 0.000 0.500
Os2 Os 0.250 0.250 0.250
Au1 Au 0.250 0.250 0.750


5.
# FeOs2Au, optimized geometry, DFT GGA-PBE
# - magnetization (μB/f.u.) = 2.62
# - DOS(E_F) (states/eV per atom) = 0.83
# - total energy (Ry/atom) = -0.5994
# - E_form (meV/atom) = 394
# - V (A^3/atom) = 14.74
data_FeOs2Au
_chemical_formula_sum 'Fe2 Os4 Au2'
_space_group_name_H-M_alt 'C 1 m 1'
_space_group_IT_number 8
_space_group_name_Hall 'C -2y'
_cell_length_a 9.051
_cell_length_b 2.768
_cell_length_c 4.780
_cell_angle_alpha 90.00
_cell_angle_beta 99.89
_cell_angle_gamma 90.00
loop_
_atom_site_label
_atom_site_type_symbol
_atom_site_fract_x
_atom_site_fract_y
_atom_site_fract_z
Fe1 Fe 0.000 0.000 0.000
Os1 Os 0.011 0.500 0.549
Os2 Os 0.253 0.000 0.741
Au1 Au 0.254 0.500 0.242


6.
# FeOsAu4, optimized geometry, DFT GGA-PBE
# - magnetization (μB/f.u.) = 4.90
# - DOS(E_F) (states/eV per atom) = 0.99
# - total energy (Ry/atom) = -0.3365
# - E_form (meV/atom) = 888
# - V (A^3/atom) = 18.15
data_FeOsAu4
_chemical_formula_sum 'Fe4 Os4 Au16'
_space_group_name_H-M_alt 'F -4 3 m'
_space_group_IT_number 216
_space_group_name_Hall 'F -4 2 3'
_cell_length_a 7.581
_cell_length_b 7.581
_cell_length_c 7.581
_cell_angle_alpha 90.00
_cell_angle_beta 90.00
_cell_angle_gamma 90.00
loop_
_atom_site_label
_atom_site_type_symbol
_atom_site_fract_x
_atom_site_fract_y
_atom_site_fract_z
Fe1 Fe 0.000 0.000 0.000
Os1 Os 0.250 0.250 0.750
Au1 Au 0.125 0.125 0.375


7.
# FeOs2Au, optimized geometry, DFT GGA-PBE
# - magnetization (μB/f.u.) = 3.06
# - DOS(E_F) (states/eV per atom) = 1.37
# - total energy (Ry/atom) = -0.5893
# - E_form (meV/atom) = 532
# - V (A^3/atom) = 15.14
data_FeOs2Au
_chemical_formula_sum 'Fe2 Os4 Au2'
_space_group_name_H-M_alt 'C m m 2'
_space_group_IT_number 35
_space_group_name_Hall 'C 2 -2'
_cell_length_a 2.804
_cell_length_b 4.629
_cell_length_c 9.331
_cell_angle_alpha 90.00
_cell_angle_beta 90.00
_cell_angle_gamma 90.00
loop_
_atom_site_label
_atom_site_type_symbol
_atom_site_fract_x
_atom_site_fract_y
_atom_site_fract_z
Fe1 Fe 0.000 0.000 0.000
Os1 Os 0.000 0.000 0.471
Os2 Os 0.000 0.500 0.230
Au1 Au 0.000 0.500 0.750


8.
# FeOs4Au, optimized geometry, DFT GGA-PBE
# - magnetization (μB/f.u.) = 3.42
# - DOS(E_F) (states/eV per atom) = 1.28
# - total energy (Ry/atom) = -0.6299
# - E_form (meV/atom) = 873
# - V (A^3/atom) = 16.11
data_FeOs4Au
_chemical_formula_sum 'Fe4 Os16 Au4'
_space_group_name_H-M_alt 'F -4 3 m'
_space_group_IT_number 216
_space_group_name_Hall 'F -4 2 3'
_cell_length_a 7.286
_cell_length_b 7.286
_cell_length_c 7.286
_cell_angle_alpha 90.00
_cell_angle_beta 90.00
_cell_angle_gamma 90.00
loop_
_atom_site_label
_atom_site_type_symbol
_atom_site_fract_x
_atom_site_fract_y
_atom_site_fract_z
Fe1 Fe 0.000 0.000 0.000
Os1 Os 0.125 0.125 0.625
Au1 Au 0.250 0.250 0.250


9.
# FeOs2Au, optimized geometry, DFT GGA-PBE
# - magnetization (μB/f.u.) = 1.41
# - DOS(E_F) (states/eV per atom) = 1.48
# - total energy (Ry/atom) = -0.5944
# - E_form (meV/atom) = 463
# - V (A^3/atom) = 14.39
data_FeOs2Au
_chemical_formula_sum 'Fe1 Os2 Au1'
_space_group_name_H-M_alt 'P 4/m m m'
_space_group_IT_number 123
_space_group_name_Hall '-P 4 2'
_cell_length_a 2.719
_cell_length_b 2.719
_cell_length_c 7.785
_cell_angle_alpha 90.00
_cell_angle_beta 90.00
_cell_angle_gamma 90.00
loop_
_atom_site_label
_atom_site_type_symbol
_atom_site_fract_x
_atom_site_fract_y
_atom_site_fract_z
Fe1 Fe 0.000 0.000 0.000
Os1 Os 0.500 0.500 0.219
Au1 Au 0.000 0.000 0.500


10.
# Fe2Os2Au, optimized geometry, DFT GGA-PBE
# - magnetization (μB/f.u.) = 2.11
# - DOS(E_F) (states/eV per atom) = 1.04
# - total energy (Ry/atom) = -0.5985
# - E_form (meV/atom) = 389
# - V (A^3/atom) = 14.20
data_Fe2Os2Au
_chemical_formula_sum 'Fe4 Os4 Au2'
_space_group_name_H-M_alt 'P 4/m b m'
_space_group_IT_number 127
_space_group_name_Hall '-P 4 2ab'
_cell_length_a 7.314
_cell_length_b 7.314
_cell_length_c 2.654
_cell_angle_alpha 90.00
_cell_angle_beta 90.00
_cell_angle_gamma 90.00
loop_
_atom_site_label
_atom_site_type_symbol
_atom_site_fract_x
_atom_site_fract_y
_atom_site_fract_z
Fe1 Fe 0.164 0.336 0.000
Os1 Os 0.126 0.626 0.500
Au1 Au 0.000 0.000 0.500


11.
# FeOs2Au, optimized geometry, DFT GGA-PBE
# - magnetization (μB/f.u.) = 2.64
# - DOS(E_F) (states/eV per atom) = 1.06
# - total energy (Ry/atom) = -0.5952
# - E_form (meV/atom) = 452
# - V (A^3/atom) = 14.48
data_FeOs2Au
_chemical_formula_sum 'Fe2 Os4 Au2'
_space_group_name_H-M_alt 'I -4 m 2'
_space_group_IT_number 119
_space_group_name_Hall 'I -4 -2'
_cell_length_a 3.863
_cell_length_b 3.863
_cell_length_c 7.767
_cell_angle_alpha 90.00
_cell_angle_beta 90.00
_cell_angle_gamma 90.00
loop_
_atom_site_label
_atom_site_type_symbol
_atom_site_fract_x
_atom_site_fract_y
_atom_site_fract_z
Fe1 Fe 0.000 0.000 0.000
Os1 Os 0.000 0.000 0.500
Os2 Os 0.000 0.500 0.750
Au1 Au 0.000 0.500 0.250


12.
# Fe2P2Au, optimized geometry, DFT GGA-PBE
# - magnetization (μB/f.u.) = 0.00
# - DOS(E_F) (states/eV per atom) = 0.26
# - total energy (Ry/atom) = -0.4665
# - E_form (meV/atom) = -143
# - V (A^3/atom) = 13.07
data_Fe2P2Au
_chemical_formula_sum 'Fe4 P4 Au2'
_space_group_name_H-M_alt 'I 4/m m m'
_space_group_IT_number 139
_space_group_name_Hall '-I 4 2'
_cell_length_a 3.469
_cell_length_b 3.469
_cell_length_c 10.860
_cell_angle_alpha 90.00
_cell_angle_beta 90.00
_cell_angle_gamma 90.00
loop_
_atom_site_label
_atom_site_type_symbol
_atom_site_fract_x
_atom_site_fract_y
_atom_site_fract_z
Fe1 Fe 0.000 0.000 0.124
P1 P 0.000 0.500 0.250
Au1 Au 0.000 0.000 0.500


13.
# Fe2P2Au, optimized geometry, DFT GGA-PBE
# - magnetization (μB/f.u.) = 0.00
# - DOS(E_F) (states/eV per atom) = 0.63
# - total energy (Ry/atom) = -0.4588
# - E_form (meV/atom) = -38
# - V (A^3/atom) = 12.49
data_Fe2P2Au
_chemical_formula_sum 'Fe4 P4 Au2'
_space_group_name_H-M_alt 'P 4/m b m'
_space_group_IT_number 127
_space_group_name_Hall '-P 4 2ab'
_cell_length_a 6.771
_cell_length_b 6.771
_cell_length_c 2.724
_cell_angle_alpha 90.00
_cell_angle_beta 90.00
_cell_angle_gamma 90.00
loop_
_atom_site_label
_atom_site_type_symbol
_atom_site_fract_x
_atom_site_fract_y
_atom_site_fract_z
Fe1 Fe 0.138 0.362 0.000
P1 P 0.146 0.646 0.500
Au1 Au 0.000 0.000 0.000


14.
# FePAu3, optimized geometry, DFT GGA-PBE
# - magnetization (μB/f.u.) = 3.53
# - DOS(E_F) (states/eV per atom) = 1.25
# - total energy (Ry/atom) = -0.2665
# - E_form (meV/atom) = 1116
# - V (A^3/atom) = 22.00
data_FePAu3
_chemical_formula_sum 'Fe1 P1 Au3'
_space_group_name_H-M_alt 'P m -3 m'
_space_group_IT_number 221
_space_group_name_Hall '-P 4 2 3'
_cell_length_a 4.792
_cell_length_b 4.792
_cell_length_c 4.792
_cell_angle_alpha 90.00
_cell_angle_beta 90.00
_cell_angle_gamma 90.00
loop_
_atom_site_label
_atom_site_type_symbol
_atom_site_fract_x
_atom_site_fract_y
_atom_site_fract_z
Fe1 Fe 0.000 0.000 0.000
P1 P 0.500 0.500 0.500
Au1 Au 0.000 0.000 0.500


15.
# FeP2Au, optimized geometry, DFT GGA-PBE
# - magnetization (μB/f.u.) = 2.20
# - DOS(E_F) (states/eV per atom) = 0.81
# - total energy (Ry/atom) = -0.3847
# - E_form (meV/atom) = 406
# - V (A^3/atom) = 14.71
data_FeP2Au
_chemical_formula_sum 'Fe2 P4 Au2'
_space_group_name_H-M_alt 'C m m m'
_space_group_IT_number 65
_space_group_name_Hall '-C 2 2'
_cell_length_a 5.961
_cell_length_b 5.976
_cell_length_c 3.302
_cell_angle_alpha 90.00
_cell_angle_beta 90.00
_cell_angle_gamma 90.00
loop_
_atom_site_label
_atom_site_type_symbol
_atom_site_fract_x
_atom_site_fract_y
_atom_site_fract_z
Fe1 Fe 0.000 0.000 0.000
P1 P 0.250 0.250 0.500
Au1 Au 0.000 0.500 0.000


16.
# FeP2Au, optimized geometry, DFT GGA-PBE
# - magnetization (μB/f.u.) = 0.63
# - DOS(E_F) (states/eV per atom) = 0.67
# - total energy (Ry/atom) = -0.4072
# - E_form (meV/atom) = 99
# - V (A^3/atom) = 15.14
data_FeP2Au
_chemical_formula_sum 'Fe1 P2 Au1'
_space_group_name_H-M_alt 'P 4/m m m'
_space_group_IT_number 123
_space_group_name_Hall '-P 4 2'
_cell_length_a 2.747
_cell_length_b 2.747
_cell_length_c 8.023
_cell_angle_alpha 90.00
_cell_angle_beta 90.00
_cell_angle_gamma 90.00
loop_
_atom_site_label
_atom_site_type_symbol
_atom_site_fract_x
_atom_site_fract_y
_atom_site_fract_z
Fe1 Fe 0.000 0.000 0.000
P1 P 0.500 0.500 0.171
Au1 Au 0.000 0.000 0.500


17.
# FePAu, optimized geometry, DFT GGA-PBE
# - magnetization (μB/f.u.) = 0.94
# - DOS(E_F) (states/eV per atom) = 0.76
# - total energy (Ry/atom) = -0.4220
# - E_form (meV/atom) = -25
# - V (A^3/atom) = 14.35
data_FePAu
_chemical_formula_sum 'Fe4 P4 Au4'
_space_group_name_H-M_alt 'C m c 21'
_space_group_IT_number 36
_space_group_name_Hall 'C 2c -2'
_cell_length_a 2.962
_cell_length_b 12.777
_cell_length_c 4.551
_cell_angle_alpha 90.00
_cell_angle_beta 90.00
_cell_angle_gamma 90.00
loop_
_atom_site_label
_atom_site_type_symbol
_atom_site_fract_x
_atom_site_fract_y
_atom_site_fract_z
Fe1 Fe 0.000 0.062 0.000
P1 P 0.000 0.437 0.124
Au1 Au 0.000 0.288 0.798


18.
# FeP2Au, optimized geometry, DFT GGA-PBE
# - magnetization (μB/f.u.) = 2.12
# - DOS(E_F) (states/eV per atom) = 0.78
# - total energy (Ry/atom) = -0.3814
# - E_form (meV/atom) = 451
# - V (A^3/atom) = 14.70
data_FeP2Au
_chemical_formula_sum 'Fe2 P4 Au2'
_space_group_name_H-M_alt 'I 4/m m m'
_space_group_IT_number 139
_space_group_name_Hall '-I 4 2'
_cell_length_a 4.103
_cell_length_b 4.103
_cell_length_c 6.989
_cell_angle_alpha 90.00
_cell_angle_beta 90.00
_cell_angle_gamma 90.00
loop_
_atom_site_label
_atom_site_type_symbol
_atom_site_fract_x
_atom_site_fract_y
_atom_site_fract_z
Fe1 Fe 0.000 0.000 0.000
P1 P 0.000 0.500 0.250
Au1 Au 0.000 0.000 0.500


19.
# FeP2Au, optimized geometry, DFT GGA-PBE
# - magnetization (μB/f.u.) = 2.44
# - DOS(E_F) (states/eV per atom) = 0.83
# - total energy (Ry/atom) = -0.3997
# - E_form (meV/atom) = 202
# - V (A^3/atom) = 14.93
data_FeP2Au
_chemical_formula_sum 'Fe3 P6 Au3'
_space_group_name_H-M_alt 'R 3 m'
_space_group_IT_number 160
_space_group_name_Hall 'R 3 -2"'
_cell_length_a 3.1713
_cell_length_b 3.1713
_cell_length_c 20.5631
_cell_angle_alpha 90.00
_cell_angle_beta 90.00
_cell_angle_gamma 120.00
loop_
_atom_site_label
_atom_site_type_symbol
_atom_site_fract_x
_atom_site_fract_y
_atom_site_fract_z
Fe1 Fe 0.0000 0.0000 0.0000
P1 P 0.0000 0.0000 0.4781
P2 P 0.0000 0.0000 0.7389
Au1 Au 0.0000 0.0000 0.2351


20.
# FePAu, optimized geometry, DFT GGA-PBE
# - magnetization (μB/f.u.) = 2.33
# - DOS(E_F) (states/eV per atom) = 0.95
# - total energy (Ry/atom) = -0.4078
# - E_form (meV/atom) = 168
# - V (A^3/atom) = 15.62
data_FePAu
_chemical_formula_sum 'Fe4 P4 Au4'
_space_group_name_H-M_alt 'F -4 3 m'
_space_group_IT_number 216
_space_group_name_Hall 'F -4 2 3'
_cell_length_a 5.723
_cell_length_b 5.723
_cell_length_c 5.723
_cell_angle_alpha 90.00
_cell_angle_beta 90.00
_cell_angle_gamma 90.00
loop_
_atom_site_label
_atom_site_type_symbol
_atom_site_fract_x
_atom_site_fract_y
_atom_site_fract_z
Fe1 Fe 0.000 0.000 0.000
P1 P 0.250 0.250 0.250
Au1 Au 0.000 0.000 0.500